Computed, not measured: crystalline Ni5Bi3O12 at its relaxed geometry at the PBE+U level of DFT.

Calculated values
N(E_F) ... 65.32 states/eV per cell
E_tot ... -5.06 eV per atom

Lattice parameters (Å, degrees): 12.541 12.541 12.541 90.00 90.00 90.00
Space group Ia-3d (No. 230)
Inequivalent atoms, fractional coordinates:
Ni 0.000 0.000 0.000 (multiplicity 16)
Ni 0.000 0.250 0.375 (multiplicity 24)
Bi 0.000 0.250 0.125 (multiplicity 24)
O 0.026 0.056 0.654 (multiplicity 96)